[1]
VASP calculation (PBE) on a relaxed SrCd2Se crystal.

a b c (Å): 4.2140 4.2140 7.0574
angles (deg): 90.00 90.00 90.00
Last column: nearest neighbours and their distance in Å.
Sites, in units of the cell vectors:
Sr 0.0000 0.0000 0.0000  4 Se 3.06, 1 Cd 3.40
Cd 0.0000 0.0000 0.4818  4 Cd 2.98
Cd 0.5000 0.5000 0.4783  4 Cd 2.98, 1 Se 2.99
Se 0.5000 0.5000 0.9017  1 Cd 2.99, 4 Sr 3.06

Computed properties:
- V: 31.331 A^3/atom
- Uncorrected energy: -2.458 eV/atom
- D(E_F): 0.1861 states/eV per atom

=====

[2]
VASP calculation (PBE) on a relaxed Sr2CdSe crystal.

a b c (Å): 5.6748 5.6748 5.6748
angles (deg): 60.00 60.00 60.00
Last column: nearest neighbours and their distance in Å.
Sites, in units of the cell vectors:
Sr 0.0000 0.0000 0.0000  4 Cd 3.48, 4 Sr 3.48
Sr 0.2500 0.2500 0.2500  4 Se 3.48, 4 Sr 3.48
Cd 0.7500 0.7500 0.7500  4 Se 3.48, 4 Sr 3.48
Se 0.5000 0.5000 0.5000  4 Cd 3.48, 4 Sr 3.48

Computed properties:
- V: 32.306 A^3/atom
- E above lowest polymorph: 714 meV per atom
- Uncorrected energy: -2.259 eV/atom
- D(E_F): 0.6415 states/eV per atom

=====

[3]
VASP calculation (PBE) on a relaxed SrCdSe2 crystal.

a b c (Å): 4.0504 4.0504 7.6993
angles (deg): 90.00 90.00 115.19
Last column: nearest neighbours and their distance in Å.
Sites, in units of the cell vectors:
Sr 0.0000 0.0000 0.0000  4 Se 2.99
Cd 0.0000 0.0000 0.5000  4 Se 2.82
Se 0.5000 0.5000 0.2665  2 Cd 2.82, 2 Sr 2.99
Se 0.5000 0.5000 0.7335  2 Cd 2.82, 2 Sr 2.99

Computed properties:
- V: 28.574 A^3/atom
- Uncorrected energy: -3.341 eV/atom
- D(E_F): 0.0365 states/eV per atom